1.
This record from the Alexandria database describes a geometry-optimized Tb7Th3Sc structure. The functional is GGA-PBE.

The total magnetic moment is 0.0 μB per formula unit. As for the formation energy: 0.210 eV per atom. The calculation puts the density at 8.46 g cm⁻³.

The structure belongs to space group P3m1 (No. 156); the cell edges are 7.0416, 7.0416 and 8.4694 Å and the angles 90.00°, 90.00° and 120.00°. Symmetry generates all atoms from Tb at (0.0000, 0.0000, 0.0000), Tb at (0.1654, 0.3308, 0.3447), Tb at (0.5022, 0.0044, 0.0098), Th at (0.3369, 0.1684, 0.6733) and Sc at (0.6667, 0.3333, 0.3509).



2.
This record from the Alexandria database describes a geometry-optimized TbThSc4 structure. The functional is GGA-PBE.

The total magnetic moment is 0.0 μB per formula unit. As for the formation energy: 0.034 eV per atom. The calculation puts the density at 5.89 g cm⁻³.

The structure belongs to space group Immm (No. 71); the cell edges are 5.2922, 6.5858 and 9.2282 Å and the angles 90.00°, 90.00° and 90.00°. Symmetry generates all atoms from Tb at (0.0000, 0.0000, 0.0000), Th at (0.0000, 0.5000, 0.0000) and Sc at (0.0000, 0.2500, 0.3331).



3.
This record from the Alexandria database describes a geometry-optimized TbTh2Sc8 structure. The functional is GGA-PBE.

The total magnetic moment is 0.0 μB per formula unit. As for the formation energy: 0.188 eV per atom. The calculation puts the density at 5.46 g cm⁻³.

The structure belongs to space group C2/m (No. 12); the cell edges are 8.5571, 15.2664 and 5.6059 Å and the angles 90.00°, 125.24° and 90.00°. Symmetry generates all atoms from Tb at (0.0000, 0.0000, 0.0000), Th at (0.0000, 0.3058, 0.5000), Sc at (0.0000, 0.2077, 0.0000), Sc at (0.0621, 0.5000, 0.7914) and Sc at (0.2194, 0.1179, 0.6890).



4.
This record from the Alexandria database describes a geometry-optimized Tb6Th7Sc16 structure. The functional is GGA-PBE.

The total magnetic moment is 0.0 μB per formula unit. As for the formation energy: 0.216 eV per atom. The calculation puts the density at 6.22 g cm⁻³.

The structure belongs to space group Fm-3m (No. 225); the cell edges are 15.2155, 15.2155 and 15.2155 Å and the angles 90.00°, 90.00° and 90.00°. Symmetry generates all atoms from Tb at (0.0000, 0.0000, 0.2365), Th at (0.0000, 0.0000, 0.5000), Th at (0.0000, 0.2500, 0.2500), Sc at (0.1267, 0.1267, 0.3733) and Sc at (0.1673, 0.1673, 0.1673).



5.
This record from the Alexandria database describes a geometry-optimized TbThSc structure. The functional is GGA-PBE.

The total magnetic moment is 0.0 μB per formula unit. As for the formation energy: 0.046 eV per atom. The calculation puts the density at 8.15 g cm⁻³.

The structure belongs to space group P3m1 (No. 156); the cell edges are 3.5081, 3.5081 and 8.3304 Å and the angles 90.00°, 90.00° and 120.00°. Symmetry generates all atoms from Tb at (0.0000, 0.0000, 0.0000), Th at (0.6667, 0.3333, 0.3447) and Sc at (0.3333, 0.6667, 0.6637).



6.
This record from the Alexandria database describes a geometry-optimized Tb2ThSc structure. The functional is GGA-PBE.

The total magnetic moment is 0.0 μB per formula unit. As for the formation energy: 0.058 eV per atom. The calculation puts the density at 8.16 g cm⁻³.

The structure belongs to space group P4/mmm (No. 123); the cell edges are 3.5028, 3.5028 and 9.8633 Å and the angles 90.00°, 90.00° and 90.00°. Symmetry generates all atoms from Tb at (0.0000, 0.0000, 0.2435), Th at (0.5000, 0.5000, 0.5000) and Sc at (0.5000, 0.5000, 0.0000).